{
  "formula": "Ba2Li3Pb2",
  "functional": "GGA-PBE",
  "state": "relaxed",
  "lattice": [[5.099, 0.000, 0.000], [-2.550, 6.244, -0.032], [0.000, -2.901, 7.142]],
  "species": ["Ba", "Ba", "Li", "Li", "Li", "Pb", "Pb"],
  "frac_coords": [[0.147, 0.294, 0.763], [0.853, 0.706, 0.237], [0.500, 0.000, 0.000], [0.363, 0.727, 0.585], [0.637, 0.273, 0.415], [0.139, 0.277, 0.233], [0.861, 0.723, 0.767]],
  "formation_enthalpy_0k_ev_per_atom": -0.36
}

---

{
  "formula": "BaLi3Pb2",
  "functional": "GGA-PBE",
  "state": "relaxed",
  "lattice": [[4.937, 0.000, 0.000], [-2.469, 9.040, 0.307], [0.000, -3.749, 7.221]],
  "species": ["Pb", "Pb", "Pb", "Pb", "Li", "Li", "Li", "Li", "Li", "Li", "Ba", "Ba"],
  "frac_coords": [[0.524, 0.048, 0.200], [0.175, 0.350, 0.645], [0.825, 0.650, 0.355], [0.476, 0.952, 0.800], [0.988, 0.976, 0.648], [0.409, 0.817, 0.358], [0.012, 0.024, 0.352], [0.308, 0.615, 0.543], [0.692, 0.385, 0.457], [0.591, 0.183, 0.642], [0.154, 0.308, 0.087], [0.846, 0.692, 0.913]],
  "formation_enthalpy_0k_ev_per_atom": -0.35
}

---

{
  "formula": "Ba3LiPb4",
  "functional": "GGA-PBE",
  "state": "relaxed",
  "lattice": [[-4.774, -1.042, 4.590], [1.090, -6.631, -0.372], [8.775, 0.918, 9.336]],
  "species": ["Ba", "Ba", "Ba", "Ba", "Ba", "Ba", "Li", "Li", "Pb", "Pb", "Pb", "Pb", "Pb", "Pb", "Pb", "Pb"],
  "frac_coords": [[0.167, 0.000, 0.251], [0.441, 0.500, 0.500], [0.833, 0.500, 0.249], [0.559, 0.000, 0.000], [0.833, 0.500, 0.751], [0.167, 0.000, 0.749], [0.334, 0.000, 0.500], [0.666, 0.500, 0.000], [0.653, 0.000, 0.346], [0.954, 0.246, 0.500], [0.653, 0.000, 0.654], [0.046, 0.254, 0.000], [0.347, 0.500, 0.154], [0.347, 0.500, 0.846], [0.046, 0.746, 0.000], [0.954, 0.754, 0.500]],
  "formation_enthalpy_0k_ev_per_atom": -0.44
}

---

{
  "formula": "BaLi2Pb",
  "functional": "GGA-PBE",
  "state": "relaxed",
  "lattice": [[-0.414, 2.273, 4.432], [-3.367, -3.404, 1.432], [7.884, -6.160, 3.895]],
  "species": ["Pb", "Pb", "Li", "Li", "Li", "Li", "Ba", "Ba"],
  "frac_coords": [[0.500, 0.000, 0.641], [0.000, 0.500, 0.359], [0.000, 0.000, 0.500], [0.500, 0.000, 0.908], [0.000, 0.500, 0.092], [0.500, 0.500, 0.500], [0.500, 0.000, 0.269], [0.000, 0.500, 0.731]],
  "formation_enthalpy_0k_ev_per_atom": -0.26
}

---

{
  "formula": "Ba2LiPb",
  "functional": "GGA-PBE",
  "state": "relaxed",
  "lattice": [[5.199, 0.000, 0.000], [0.000, 7.122, -1.343], [0.000, -2.298, 9.547]],
  "species": ["Ba", "Ba", "Ba", "Ba", "Pb", "Pb", "Li", "Li"],
  "frac_coords": [[0.250, 0.276, 0.578], [0.750, 0.197, 0.932], [0.250, 0.803, 0.068], [0.750, 0.724, 0.422], [0.750, 0.159, 0.291], [0.250, 0.841, 0.709], [0.250, 0.335, 0.244], [0.750, 0.665, 0.756]],
  "formation_enthalpy_0k_ev_per_atom": -0.36
}

---

{
  "formula": "Ba2Li2Pb",
  "functional": "GGA-PBE",
  "state": "relaxed",
  "lattice": [[7.837, 0.000, 0.000], [0.000, 7.837, 0.000], [0.000, 0.000, 5.514]],
  "species": ["Pb", "Pb", "Li", "Li", "Li", "Li", "Ba", "Ba", "Ba", "Ba"],
  "frac_coords": [[0.500, 0.500, 0.000], [0.000, 0.000, 0.000], [0.131, 0.369, 0.000], [0.631, 0.131, 0.000], [0.369, 0.869, 0.000], [0.869, 0.631, 0.000], [0.198, 0.698, 0.500], [0.302, 0.198, 0.500], [0.802, 0.302, 0.500], [0.698, 0.802, 0.500]],
  "formation_enthalpy_0k_ev_per_atom": -0.22
}

---

Short version: size of the total moment = 0.2 0.0 0.0 0.3 1.7 0.0 μB per cell, in the order given.